# 1
Here is Ba2TaMn after structural relaxation from the Alexandria database. Energies are from PBE-GGA.

Lattice parameters (Å, degrees): 5.164 3.389 7.728 63.71 90.00 90.00
Last column: magnetic moment on the atom in μB.
Fractional positions:
Ta1 0.500 0.750 0.750  -0.63
Ba1 0.000 0.998 0.000  -0.08
Mn1 0.500 0.250 0.250  3.98
Ba2 0.000 0.502 0.500  -0.08

Output
ΔH_f (0 K): 1.2125 eV/atom
Density: 7.0 g cm⁻³
Polymorph energy (0 for the lowest one): 0.627 eV/atom
Spin magnetization: 0.7443 μB/atom
Space-group type: P2/m
Calculated total energy: -20.02 eV for the cell shown

# 2
Here is Ba2TaMn2 after structural relaxation from the Alexandria database. Energies are from PBE-GGA.

Lattice parameters (Å, degrees): 3.212 3.212 11.856 82.21 82.21 90.00
Last column: magnetic moment on the atom in μB.
Fractional positions:
Ba1 0.379 0.379 0.242  0.01
Mn1 0.750 0.250 0.500  0.45
Mn2 0.250 0.750 0.500  0.45
Ba2 0.621 0.621 0.758  0.01
Ta1 0.000 0.000 0.000  0.27

Output
ΔH_f (0 K): 1.1392 eV/atom
Density: 7.8 g cm⁻³
Polymorph energy (0 for the lowest one): 0.000 eV/atom
Spin magnetization: 0.2953 μB/atom
Space-group type: I4/mmm
Calculated total energy: -28.34 eV for the cell shown

- What is the formula in the first record?
  Ba2TaMn